## Tb2Tm4Al (PBE)

Data for a relaxed Tb2Tm4Al crystal.

The total moment is 0.00 μB per formula unit. For the calculated volume, the calculation gives 29.13 Å³/atom. The value obtained for the formation energy is -0.3 eV per formula unit. The space group is R-3m (166). As for the density of states at the Fermi level: 7.91 states/eV per cell.

Cell lengths 18.905, 18.905, 18.905 Å; angles 10.74, 10.74, 10.74 degrees
Fractional positions:
Tb1 0.192 0.192 0.192
Tb2 0.808 0.808 0.808
Tm1 0.091 0.091 0.091
Tm2 0.373 0.373 0.373
Tm3 0.627 0.627 0.627
Tm4 0.909 0.909 0.909
Al1 0.000 0.000 0.000